Entry 1:
# Cu12Se3S5 PBE-GGA optimized geometry
data_Cu12Se3S5
_chemical_formula_sum 'Cu96 Se24 S40'
_cell_length_a 13.858
_cell_length_b 13.858
_cell_length_c 13.858
_cell_angle_alpha 90.00
_cell_angle_beta 90.00
_cell_angle_gamma 90.00
_space_group_name_H-M_alt 'I a -3 d'
_space_group_IT_number 230
_space_group_name_Hall '-I 4bd 2c 3'
loop_
_atom_site_label
_atom_site_type_symbol
_atom_site_fract_x
_atom_site_fract_y
_atom_site_fract_z
_atom_site_occupancy
Cu1 Cu 0.020 0.073 0.650 1
Se1 Se 0.000 0.250 0.125 1
S1 S 0.000 0.000 0.000 1
S2 S 0.000 0.250 0.375 1
# E_form (uncorrected), eV/atom: -0.101
# Calculated volume, Å³/cell: 2661
# Size of the total moment, μB per formula unit: 0.00
# E, eV/atom: -4.11


Entry 2:
# BaMgTe2 PBE-GGA optimized geometry
data_BaMgTe2
_chemical_formula_sum 'Ba4 Mg4 Te8'
_cell_length_a 8.155
_cell_length_b 4.667
_cell_length_c 15.192
_cell_angle_alpha 90.00
_cell_angle_beta 90.00
_cell_angle_gamma 90.00
_space_group_name_H-M_alt 'P n m a'
_space_group_IT_number 62
_space_group_name_Hall '-P 2ac 2n'
loop_
_atom_site_label
_atom_site_type_symbol
_atom_site_fract_x
_atom_site_fract_y
_atom_site_fract_z
_atom_site_occupancy
Ba1 Ba 0.123 0.250 0.144 1
Mg1 Mg 0.076 0.750 0.398 1
Te1 Te 0.124 0.250 0.751 1
Te2 Te 0.221 0.250 0.475 1
# E_form (uncorrected), eV/atom: -1.291
# Calculated volume, Å³/cell: 578
# Size of the total moment, μB per formula unit: 0.00
# E, eV/atom: -3.74


Entry 3:
# FeAg6Cl12 PBE-GGA optimized geometry
data_FeAg6Cl12
_chemical_formula_sum 'Fe3 Ag18 Cl36'
_cell_length_a 11.0146
_cell_length_b 11.0146
_cell_length_c 15.4514
_cell_angle_alpha 90.00
_cell_angle_beta 90.00
_cell_angle_gamma 120.00
_space_group_name_H-M_alt 'R -3'
_space_group_IT_number 148
_space_group_name_Hall '-R 3'
loop_
_atom_site_label
_atom_site_type_symbol
_atom_site_fract_x
_atom_site_fract_y
_atom_site_fract_z
_atom_site_occupancy
Fe1 Fe 0.0000 0.0000 0.0000 1
Ag1 Ag 0.0383 0.2638 0.6735 1
Cl1 Cl 0.0238 0.1959 0.3726 1
Cl2 Cl 0.0946 0.2046 0.9099 1
# E_form (uncorrected), eV/atom: -0.454
# Calculated volume, Å³/cell: 1623
# Size of the total moment, μB per formula unit: 4.45
# E, eV/atom: -2.97


Entry 4:
# NaV PBE-GGA optimized geometry
data_NaV
_chemical_formula_sum 'Na6 V6'
_cell_length_a 2.977
_cell_length_b 13.384
_cell_length_c 7.567
_cell_angle_alpha 90.00
_cell_angle_beta 90.00
_cell_angle_gamma 90.00
_space_group_name_H-M_alt 'I m m 2'
_space_group_IT_number 44
_space_group_name_Hall 'I 2 -2'
loop_
_atom_site_label
_atom_site_type_symbol
_atom_site_fract_x
_atom_site_fract_y
_atom_site_fract_z
_atom_site_occupancy
Na1 Na 0.000 0.000 0.000 1
Na2 Na 0.000 0.288 0.796 1
V1 V 0.000 0.000 0.434 1
V2 V 0.000 0.420 0.138 1
# Calculated volume, Å³/cell: 301
# Size of the total moment, μB per formula unit: 0.00
# DFT formation energy, eV per atom: 0.735
# E, eV/atom: -4.48
# E above lowest polymorph, meV per atom: 247.0


Entry 5:
# PuTiAl PBE-GGA optimized geometry
data_PuTiAl
_chemical_formula_sum 'Pu1 Ti1 Al1'
_cell_length_a 4.7862
_cell_length_b 4.7862
_cell_length_c 2.8466
_cell_angle_alpha 90.00
_cell_angle_beta 90.00
_cell_angle_gamma 120.00
_space_group_name_H-M_alt 'P -6 m 2'
_space_group_IT_number 187
_space_group_name_Hall 'P -6 2'
loop_
_atom_site_label
_atom_site_type_symbol
_atom_site_fract_x
_atom_site_fract_y
_atom_site_fract_z
_atom_site_occupancy
Pu1 Pu 0.0000 0.0000 0.0000 1
Ti1 Ti 0.3333 0.6667 0.0000 1
Al1 Al 0.6667 0.3333 0.5000 1
# Calculated volume, Å³/cell: 56
# Size of the total moment, μB per formula unit: 5.20
# DFT formation energy, eV per atom: 0.022
# E, eV/atom: -8.63
# E above lowest polymorph, meV per atom: 67.3


Entry 6:
# La2GeAs3Pt4 PBE-GGA optimized geometry
data_La2GeAs3Pt4
_chemical_formula_sum 'La2 Ge1 As3 Pt4'
_cell_length_a 4.443
_cell_length_b 4.443
_cell_length_c 10.147
_cell_angle_alpha 90.00
_cell_angle_beta 90.00
_cell_angle_gamma 90.00
_space_group_name_H-M_alt 'P -4 m 2'
_space_group_IT_number 115
_space_group_name_Hall 'P -4 -2'
loop_
_atom_site_label
_atom_site_type_symbol
_atom_site_fract_x
_atom_site_fract_y
_atom_site_fract_z
_atom_site_occupancy
La1 La 0.000 0.500 0.247 1
Ge1 Ge 0.000 0.000 0.500 1
As1 As 0.000 0.500 0.867 1
As2 As 0.500 0.500 0.500 1
Pt1 Pt 0.000 0.000 0.000 1
Pt2 Pt 0.000 0.500 0.622 1
Pt3 Pt 0.500 0.500 0.000 1
# Calculated volume, Å³/cell: 200
# Size of the total moment, μB per formula unit: 0.00
# DFT formation energy, eV per atom: -0.956
# E, eV/atom: -6.21


Entry 7:
# TbDyBi PBE-GGA optimized geometry
data_TbDyBi
_chemical_formula_sum 'Tb2 Dy2 Bi2'
_cell_length_a 3.379
_cell_length_b 3.379
_cell_length_c 17.957
_cell_angle_alpha 90.00
_cell_angle_beta 90.00
_cell_angle_gamma 90.00
_space_group_name_H-M_alt 'I 4 m m'
_space_group_IT_number 107
_space_group_name_Hall 'I 4 -2'
loop_
_atom_site_label
_atom_site_type_symbol
_atom_site_fract_x
_atom_site_fract_y
_atom_site_fract_z
_atom_site_occupancy
Tb1 Tb 0.000 0.000 0.000 1
Dy1 Dy 0.000 0.000 0.807 1
Bi1 Bi 0.000 0.000 0.630 1
# Calculated volume, Å³/cell: 205
# Size of the total moment, μB per formula unit: 0.79
# DFT formation energy, eV per atom: 0.158
# E, eV/atom: -4.21


Entry 8:
# Pm2BeNi PBE-GGA optimized geometry
data_Pm2BeNi
_chemical_formula_sum 'Pm2 Be1 Ni1'
_cell_length_a 3.519
_cell_length_b 3.519
_cell_length_c 6.870
_cell_angle_alpha 90.00
_cell_angle_beta 90.00
_cell_angle_gamma 90.00
_space_group_name_H-M_alt 'P 4/m m m'
_space_group_IT_number 123
_space_group_name_Hall '-P 4 2'
loop_
_atom_site_label
_atom_site_type_symbol
_atom_site_fract_x
_atom_site_fract_y
_atom_site_fract_z
_atom_site_occupancy
Pm1 Pm 0.000 0.000 0.247 1
Be1 Be 0.500 0.500 0.500 1
Ni1 Ni 0.500 0.500 0.000 1
# Calculated volume, Å³/cell: 85
# Size of the total moment, μB per formula unit: 0.00
# DFT formation energy, eV per atom: -0.035
# E, eV/atom: -4.79
# E above lowest polymorph, meV per atom: 125.4